(1)
Entry from Alexandria via LeMat-Bulk: a relaxed Pm2GdTm crystal (PBE).

Cell and atoms, written as CIF:
```
data_Pm2GdTm
_chemical_formula_sum 'Pm2 Gd1 Tm1'
_cell_length_a 3.519
_cell_length_b 3.519
_cell_length_c 12.604
_cell_angle_alpha 81.98
_cell_angle_beta 81.98
_cell_angle_gamma 60.00
_symmetry_space_group_name_H-M 'P 1'
_symmetry_Int_Tables_number 1
_symmetry_space_group_name_Hall 'P 1'
loop_
_atom_site_label
_atom_site_fract_x
_atom_site_fract_y
_atom_site_fract_z
_atom_site_occupancy
Gd1 0.000 0.000 0.000 1
Tm1 0.500 0.500 0.500 1
Pm1 0.090 0.090 0.731 1
Pm2 0.910 0.910 0.269 1
```

Output
Offset from the most stable computed form (eV/f.u.): 0.55
Energy of formation (eV/atom): 0.153
D(E_F) (states/eV per cell): 6.87

(2)
Entry from Alexandria via LeMat-Bulk: a relaxed Ca2GaAg2 crystal (PBE).

Cell and atoms, written as CIF:
```
data_Ca2GaAg2
_chemical_formula_sum 'Ca2 Ga1 Ag2'
_cell_length_a 5.862
_cell_length_b 5.862
_cell_length_c 5.686
_cell_angle_alpha 58.97
_cell_angle_beta 58.97
_cell_angle_gamma 90.00
_symmetry_space_group_name_H-M 'P 1'
_symmetry_Int_Tables_number 1
_symmetry_space_group_name_Hall 'P 1'
loop_
_atom_site_label
_atom_site_fract_x
_atom_site_fract_y
_atom_site_fract_z
_atom_site_occupancy
Ca1 0.750 0.250 0.500 1
Ca2 0.250 0.750 0.500 1
Ga1 0.000 0.000 0.000 1
Ag1 0.332 0.332 0.336 1
Ag2 0.668 0.668 0.664 1
```

Output
Offset from the most stable computed form (eV/f.u.): 0.95
Energy of formation (eV/atom): -0.160
D(E_F) (states/eV per cell): 3.91

(3)
Entry from Alexandria via LeMat-Bulk: a relaxed PmTmCuSn crystal (PBE).

Cell and atoms, written as CIF:
```
data_PmTmCuSn
_chemical_formula_sum 'Pm1 Tm1 Cu1 Sn1'
_cell_length_a 5.182
_cell_length_b 5.182
_cell_length_c 5.182
_cell_angle_alpha 60.00
_cell_angle_beta 60.00
_cell_angle_gamma 60.00
_symmetry_space_group_name_H-M 'P 1'
_symmetry_Int_Tables_number 1
_symmetry_space_group_name_Hall 'P 1'
loop_
_atom_site_label
_atom_site_fract_x
_atom_site_fract_y
_atom_site_fract_z
_atom_site_occupancy
Tm1 0.500 0.500 0.500 1
Sn1 0.250 0.250 0.250 1
Cu1 0.750 0.750 0.750 1
Pm1 0.000 0.000 0.000 1
```

Output
Energy of formation (eV/atom): -0.411
D(E_F) (states/eV per cell): 3.74

(4)
Entry from Alexandria via LeMat-Bulk: a relaxed Ac2Sb3Pd6Pb crystal (PBE).

Cell and atoms, written as CIF:
```
data_Ac2Sb3Pd6Pb
_chemical_formula_sum 'Ac2 Sb3 Pd6 Pb1'
_cell_length_a 4.448
_cell_length_b 4.448
_cell_length_c 16.254
_cell_angle_alpha 90.00
_cell_angle_beta 90.00
_cell_angle_gamma 90.00
_symmetry_space_group_name_H-M 'P 1'
_symmetry_Int_Tables_number 1
_symmetry_space_group_name_Hall 'P 1'
loop_
_atom_site_label
_atom_site_fract_x
_atom_site_fract_y
_atom_site_fract_z
_atom_site_occupancy
Ac1 0.500 0.500 0.208 1
Ac2 0.500 0.500 0.792 1
Sb1 0.000 0.000 0.311 1
Sb2 0.000 0.000 0.689 1
Sb3 0.000 0.000 0.000 1
Pd1 0.000 0.500 0.603 1
Pd2 0.500 0.000 0.397 1
Pd3 0.500 0.000 0.603 1
Pd4 0.000 0.000 0.153 1
Pd5 0.000 0.500 0.397 1
Pd6 0.000 0.000 0.847 1
Pb1 0.500 0.500 0.500 1
```

Output
Energy relative to the elements, uncorrected (eV/atom): -0.5040
D(E_F) (states/eV per cell): 6.03

(5)
Entry from Alexandria via LeMat-Bulk: a relaxed Mg2SiHg crystal (PBE).

Cell and atoms, written as CIF:
```
data_Mg2SiHg
_chemical_formula_sum 'Mg2 Si1 Hg1'
_cell_length_a 4.885
_cell_length_b 4.885
_cell_length_c 3.318
_cell_angle_alpha 90.00
_cell_angle_beta 90.00
_cell_angle_gamma 93.75
_symmetry_space_group_name_H-M 'P 1'
_symmetry_Int_Tables_number 1
_symmetry_space_group_name_Hall 'P 1'
loop_
_atom_site_label
_atom_site_fract_x
_atom_site_fract_y
_atom_site_fract_z
_atom_site_occupancy
Hg1 0.000 0.500 0.500 1
Mg1 0.000 0.000 0.000 1
Mg2 0.500 0.500 0.000 1
Si1 0.500 0.000 0.500 1
```

Output
Energy relative to the elements, uncorrected (eV/atom): -0.0299
D(E_F) (states/eV per cell): 0.62

(6)
Entry from Alexandria via LeMat-Bulk: a relaxed Hf2ScGa crystal (PBE).

Cell and atoms, written as CIF:
```
data_Hf2ScGa
_chemical_formula_sum 'Hf2 Sc1 Ga1'
_cell_length_a 3.169
_cell_length_b 3.169
_cell_length_c 9.982
_cell_angle_alpha 80.87
_cell_angle_beta 80.87
_cell_angle_gamma 60.00
_symmetry_space_group_name_H-M 'P 1'
_symmetry_Int_Tables_number 1
_symmetry_space_group_name_Hall 'P 1'
loop_
_atom_site_label
_atom_site_fract_x
_atom_site_fract_y
_atom_site_fract_z
_atom_site_occupancy
Sc1 0.500 0.500 0.500 1
Hf1 0.255 0.255 0.235 1
Hf2 0.745 0.745 0.765 1
Ga1 0.000 0.000 0.000 1
```

Output
Energy of formation (eV/atom): -0.078
D(E_F) (states/eV per cell): 5.54

(7)
Entry from Alexandria via LeMat-Bulk: a relaxed KGe2P crystal (PBE).

Cell and atoms, written as CIF:
```
data_KGe2P
_chemical_formula_sum 'K2 Ge4 P2'
_cell_length_a 5.071
_cell_length_b 5.071
_cell_length_c 9.550
_cell_angle_alpha 74.60
_cell_angle_beta 74.60
_cell_angle_gamma 90.00
_symmetry_space_group_name_H-M 'P 1'
_symmetry_Int_Tables_number 1
_symmetry_space_group_name_Hall 'P 1'
loop_
_atom_site_label
_atom_site_fract_x
_atom_site_fract_y
_atom_site_fract_z
_atom_site_occupancy
P1 0.500 0.500 0.000 1
P2 0.250 0.750 0.500 1
Ge1 0.376 0.125 0.250 1
Ge2 0.374 0.625 0.250 1
Ge3 0.375 0.624 0.750 1
Ge4 0.875 0.626 0.750 1
K1 0.000 0.000 0.000 1
K2 0.750 0.250 0.500 1
```

Output
Energy of formation (eV/atom): 0.117
D(E_F) (states/eV per cell): 2.10

(8)
Entry from Alexandria via LeMat-Bulk: a relaxed BeMoAs crystal (PBE).

Cell and atoms, written as CIF:
```
data_BeMoAs
_chemical_formula_sum 'Be4 Mo4 As4'
_cell_length_a 5.787
_cell_length_b 5.960
_cell_length_c 6.056
_cell_angle_alpha 68.58
_cell_angle_beta 69.23
_cell_angle_gamma 93.06
_symmetry_space_group_name_H-M 'P 1'
_symmetry_Int_Tables_number 1
_symmetry_space_group_name_Hall 'P 1'
loop_
_atom_site_label
_atom_site_fract_x
_atom_site_fract_y
_atom_site_fract_z
_atom_site_occupancy
Mo1 0.104 0.203 0.372 1
Mo2 0.241 0.292 0.780 1
Mo3 0.646 0.343 0.299 1
Mo4 0.343 0.853 0.573 1
Be1 0.097 0.586 0.036 1
Be2 0.476 0.529 0.925 1
Be3 0.462 0.109 0.102 1
Be4 0.948 0.921 0.851 1
As1 0.893 0.545 0.794 1
As2 0.854 0.965 0.226 1
As3 0.617 0.044 0.736 1
As4 0.326 0.612 0.307 1
```

Output
Offset from the most stable computed form (eV/f.u.): 0.43
Energy of formation (eV/atom): 0.067
D(E_F) (states/eV per cell): 5.87

The records above give, respectively, uncorrected energy values of -6.860; -2.707; -4.741; -5.125; -2.258; -7.394; -3.819; -6.336 eV per atom.